1.
5
Lattice="4.992 0.000 0.000 0.000 4.992 0.000 -2.496 -2.496 4.727" Properties=species:S:1:pos:R:3 comment="Rb2ZrRu2, optimized geometry, DFT PBEsol" dos_at_fermi_per_ev_atom=1.252 magnetic_moment_mub_per_fu=0.8 total_energy_ev_per_atom=-4.1131 sg="I4/mmm, No. 139" volume_a3_per_atom=23.6 pbc="T T T"
Rb 2.496 2.496 1.346
Rb 0.000 0.000 3.382
Ru 0.000 2.496 2.364
Ru 2.496 0.000 2.364
Zr 0.000 0.000 0.000


2.
4
Lattice="-2.240 1.713 1.559 -3.154 -4.292 0.185 4.778 -0.048 3.588" Properties=species:S:1:pos:R:3 comment="SrRe2Sb, optimized geometry, DFT PBEsol" dos_at_fermi_per_ev_atom=0.891 magnetic_moment_mub_per_fu=0.0 e_form_raw_kj_per_mol_atoms=68 total_energy_ev_per_atom=-7.5630 sg="Imm2, No. 44" volume_a3_per_atom=21.9 pbc="T T T"
Sr -0.536 -2.815 2.323
Re -0.165 0.243 2.827
Re 0.228 -0.147 0.489
Sb 1.939 -1.246 4.154


3.
5
Lattice="3.967 0.000 0.000 0.000 4.857 0.000 0.000 0.000 4.857" Properties=species:S:1:pos:R:3 comment="AgP2IO, optimized geometry, DFT PBEsol" dos_at_fermi_per_ev_atom=0.778 magnetic_moment_mub_per_fu=0.0 e_form_raw_kj_per_mol_atoms=77 total_energy_ev_per_atom=-3.5833 sg="P4/mmm, No. 123" volume_a3_per_atom=18.7 pbc="T T T"
O 1.983 0.000 0.000
P 0.000 2.428 0.000
P 0.000 0.000 2.428
Ag 0.000 0.000 0.000
I 1.983 2.428 2.428